Crystalline Th5Bi4H at its relaxed geometry, computed with PBE-GGA.

abc: 6.413 7.670 7.670
angles: 79.94 65.29 65.29
Each line ends with the local moment (μB).
Sites, in units of the cell vectors:
Bi  0.413  0.396  0.765  0.00
Bi  0.809  0.765  0.604  0.00
Bi  0.178  0.235  0.396  0.00
Bi  0.574  0.604  0.235  0.00
Th  0.090  0.650  0.156  0.12
Th  0.897  0.350  0.844  0.12
Th  0.471  0.000  0.000  0.08
Th  0.247  0.844  0.650  0.12
Th  0.740  0.156  0.350  0.12
H  0.092  0.000  0.000  -0.01

Properties
Final energy = -5.95 eV per atom
ρ = 10.65 g/cm3

***

Crystalline SrScGa at its relaxed geometry, computed with PBE-GGA.

abc: 6.055 8.649 3.292
angles: 112.46 90.00 90.00
Each line ends with the local moment (μB).
Sites, in units of the cell vectors:
Sc  0.174  0.539  0.430  0.31
Sc  0.674  0.539  0.430  0.31
Ga  0.424  0.293  0.683  0.01
Ga  0.924  0.785  0.177  0.01
Sr  0.924  0.154  0.048  0.03
Sr  0.424  0.924  0.813  0.03

Properties
Energy relative to the elements = -49 kJ/mol of formula units
ρ = 4.22 g/cm3
Distance to the lowest polymorph of the same formula = 5.00 kcal/mol of atoms

***

What is the ρ in the second record?
4.22 g/cm3